No. 1
LiZrBr: relaxed, PBE.

Calculated values
magnetization = 0.0 Bohr magnetons per cell
E above lowest polymorph = 0.000 eV per atom
E_form (uncorrected) = -746 meV per atom
calculated density = 4.21 g cm⁻³

```
6
Lattice="3.560 0.000 0.000 0.000 3.560 0.000 -0.058 0.000 11.076" Properties=species:S:1:pos:R:3 pbc="T T T"
Li 0.861 0.890 2.510
Li 2.641 2.670 8.566
Zr 0.861 0.890 6.399
Zr 2.641 2.670 4.677
Br 0.862 0.890 9.252
Br 2.641 2.670 1.825
```

=====

No. 2
InWSe: relaxed, PBE.

Calculated values
magnetization = 0.0 Bohr magnetons per cell
E above lowest polymorph = 0.971 eV per atom
E_form (uncorrected) = 1127 meV per atom
calculated density = 9.79 g cm⁻³

```
3
Lattice="0.000 3.176 3.176 3.176 0.000 3.176 3.176 3.176 0.000" Properties=species:S:1:pos:R:3 pbc="T T T"
In 0.000 0.000 0.000
W 3.176 3.176 3.176
Se 4.764 4.764 4.764
```